The following is a DFT calculation (PBE) of a geometry-optimized CsVCuCl6 structure.

Values from the calculation:
E	-3.97	eV/atom
ΔE_f (raw)	-1.178	eV per atom
density of states at the Fermi level	7.0	states/eV/cell
size of the total moment	0.998	Bohr magnetons per cell

Cell: 6.3613 6.3613 7.8126 Å, 90.00 90.00 120.00°
Space group P312 (No. 149)
Inequivalent atoms, fractional coordinates:
Cs  0.0000  0.0000  0.0000 x1
V  0.6667  0.3333  0.5000 x1
Cu  0.3333  0.6667  0.5000 x1
Cl  0.3778  0.0148  0.6721 x6